*P*
# AlSbTe2Pt, relaxed, DFT GGA-PBE
# * volume: 137.7 Å³/cell
# * magnetic moment: 0.000 μB/f.u.
# * crystal system: tetragonal
data_AlSbTe2Pt
_symmetry_space_group_name_H-M 'P 1'
_symmetry_Int_Tables_number 1
_symmetry_space_group_name_Hall 'P 1'
_cell_length_a 5.172
_cell_length_b 5.172
_cell_length_c 5.149
_cell_angle_alpha 90.00
_cell_angle_beta 90.00
_cell_angle_gamma 90.00
loop_
_atom_site_label
_atom_site_fract_x
_atom_site_fract_y
_atom_site_fract_z
Sb1 0.000 0.000 0.500
Te1 0.000 0.500 0.000
Te2 0.500 0.000 0.000
Al1 0.000 0.000 0.000
Pt1 0.500 0.500 0.500



*Q*
# AlSbTe2Pt, relaxed, DFT GGA-PBE
# * volume: 155.1 Å³/cell
# * magnetic moment: 0.000 μB/f.u.
# * crystal system: tetragonal
data_AlSbTe2Pt
_symmetry_space_group_name_H-M 'P 1'
_symmetry_Int_Tables_number 1
_symmetry_space_group_name_Hall 'P 1'
_cell_length_a 5.531
_cell_length_b 5.531
_cell_length_c 5.071
_cell_angle_alpha 90.00
_cell_angle_beta 90.00
_cell_angle_gamma 90.00
loop_
_atom_site_label
_atom_site_fract_x
_atom_site_fract_y
_atom_site_fract_z
Sb1 0.000 0.000 0.500
Te1 0.000 0.500 0.000
Te2 0.500 0.000 0.000
Al1 0.500 0.500 0.500
Pt1 0.000 0.000 0.000



Energy ordering: *Q* at the bottom, the next structure 373 meV per atom above.



*P*
# ScAl2Pt2, relaxed, DFT GGA-PBE
# * volume: 175.5 Å³/cell
# * magnetic moment: 0.000 μB/f.u.
# * crystal system: monoclinic
data_ScAl2Pt2
_symmetry_space_group_name_H-M 'P 1'
_symmetry_Int_Tables_number 1
_symmetry_space_group_name_Hall 'P 1'
_cell_length_a 4.476
_cell_length_b 4.876
_cell_length_c 8.258
_cell_angle_alpha 76.83
_cell_angle_beta 90.00
_cell_angle_gamma 90.00
loop_
_atom_site_label
_atom_site_fract_x
_atom_site_fract_y
_atom_site_fract_z
Sc1 0.250 0.676 0.228
Sc2 0.750 0.324 0.772
Al1 0.250 0.738 0.866
Al2 0.750 0.262 0.134
Al3 0.250 0.145 0.522
Al4 0.750 0.855 0.478
Pt1 0.250 0.619 0.589
Pt2 0.750 0.381 0.411
Pt3 0.250 0.193 0.976
Pt4 0.750 0.807 0.024



*Q*
# ScAl2Pt2, relaxed, DFT GGA-PBE
# * volume: 164.1 Å³/cell
# * magnetic moment: 0.000 μB/f.u.
# * crystal system: tetragonal
data_ScAl2Pt2
_symmetry_space_group_name_H-M 'P 1'
_symmetry_Int_Tables_number 1
_symmetry_space_group_name_Hall 'P 1'
_cell_length_a 7.597
_cell_length_b 7.597
_cell_length_c 2.844
_cell_angle_alpha 90.00
_cell_angle_beta 90.00
_cell_angle_gamma 90.00
loop_
_atom_site_label
_atom_site_fract_x
_atom_site_fract_y
_atom_site_fract_z
Sc1 0.000 0.000 0.000
Sc2 0.500 0.500 0.000
Al1 0.150 0.650 0.500
Al2 0.650 0.850 0.500
Al3 0.850 0.350 0.500
Al4 0.350 0.150 0.500
Pt1 0.355 0.855 0.000
Pt2 0.855 0.645 0.000
Pt3 0.645 0.145 0.000
Pt4 0.145 0.355 0.000



*R*
# ScAl2Pt2, relaxed, DFT GGA-PBE
# * volume: 88.0 Å³/cell
# * magnetic moment: 0.000 μB/f.u.
# * crystal system: tetragonal
data_ScAl2Pt2
_symmetry_space_group_name_H-M 'P 1'
_symmetry_Int_Tables_number 1
_symmetry_space_group_name_Hall 'P 1'
_cell_length_a 3.851
_cell_length_b 3.851
_cell_length_c 6.530
_cell_angle_alpha 72.85
_cell_angle_beta 72.85
_cell_angle_gamma 90.00
loop_
_atom_site_label
_atom_site_fract_x
_atom_site_fract_y
_atom_site_fract_z
Sc1 0.000 0.000 0.000
Al1 0.750 0.250 0.500
Al2 0.250 0.750 0.500
Pt1 0.387 0.387 0.226
Pt2 0.613 0.613 0.774



*S*
# ScAl2Pt2, relaxed, DFT GGA-PBE
# * volume: 161.2 Å³/cell
# * magnetic moment: 0.355 μB/f.u.
# * crystal system: tetragonal
data_ScAl2Pt2
_symmetry_space_group_name_H-M 'P 1'
_symmetry_Int_Tables_number 1
_symmetry_space_group_name_Hall 'P 1'
_cell_length_a 7.613
_cell_length_b 7.613
_cell_length_c 2.782
_cell_angle_alpha 90.00
_cell_angle_beta 90.00
_cell_angle_gamma 90.00
loop_
_atom_site_label
_atom_site_fract_x
_atom_site_fract_y
_atom_site_fract_z
Sc1 0.000 0.000 0.000
Sc2 0.500 0.500 0.000
Al1 0.373 0.873 0.000
Al2 0.873 0.627 0.000
Al3 0.627 0.127 0.000
Al4 0.127 0.373 0.000
Pt1 0.170 0.670 0.500
Pt2 0.670 0.830 0.500
Pt3 0.830 0.330 0.500
Pt4 0.330 0.170 0.500



Energy ordering: *P* at the bottom, the next structure 25 meV per atom above.



*P*
# Sm2AlPt, relaxed, DFT GGA-PBE
# * volume: 95.4 Å³/cell
# * magnetic moment: 0.000 μB/f.u.
# * crystal system: tetragonal
data_Sm2AlPt
_symmetry_space_group_name_H-M 'P 1'
_symmetry_Int_Tables_number 1
_symmetry_space_group_name_Hall 'P 1'
_cell_length_a 3.636
_cell_length_b 3.636
_cell_length_c 7.218
_cell_angle_alpha 90.00
_cell_angle_beta 90.00
_cell_angle_gamma 90.00
loop_
_atom_site_label
_atom_site_fract_x
_atom_site_fract_y
_atom_site_fract_z
Sm1 0.000 0.000 0.765
Sm2 0.000 0.000 0.235
Pt1 0.500 0.500 0.000
Al1 0.500 0.500 0.500



*Q*
# Sm2AlPt, relaxed, DFT GGA-PBE
# * volume: 96.3 Å³/cell
# * magnetic moment: 0.000 μB/f.u.
# * crystal system: cubic
data_Sm2AlPt
_symmetry_space_group_name_H-M 'P 1'
_symmetry_Int_Tables_number 1
_symmetry_space_group_name_Hall 'P 1'
_cell_length_a 5.144
_cell_length_b 5.144
_cell_length_c 5.144
_cell_angle_alpha 60.00
_cell_angle_beta 60.00
_cell_angle_gamma 60.00
loop_
_atom_site_label
_atom_site_fract_x
_atom_site_fract_y
_atom_site_fract_z
Sm1 0.250 0.250 0.250
Sm2 0.750 0.750 0.750
Pt1 0.500 0.500 0.500
Al1 0.000 0.000 0.000



Energy ordering: *P* at the bottom, the next structure 84 meV per atom above.



*P*
# SmAlPt4, relaxed, DFT GGA-PBE
# * volume: 110.1 Å³/cell
# * magnetic moment: 0.000 μB/f.u.
# * crystal system: cubic
data_SmAlPt4
_symmetry_space_group_name_H-M 'P 1'
_symmetry_Int_Tables_number 1
_symmetry_space_group_name_Hall 'P 1'
_cell_length_a 5.380
_cell_length_b 5.380
_cell_length_c 5.380
_cell_angle_alpha 60.00
_cell_angle_beta 60.00
_cell_angle_gamma 60.00
loop_
_atom_site_label
_atom_site_fract_x
_atom_site_fract_y
_atom_site_fract_z
Sm1 0.250 0.250 0.250
Pt1 0.626 0.626 0.123
Pt2 0.626 0.123 0.626
Pt3 0.626 0.626 0.626
Pt4 0.123 0.626 0.626
Al1 0.000 0.000 0.000



*Q*
# SmAlPt4, relaxed, DFT GGA-PBE
# * volume: 212.6 Å³/cell
# * magnetic moment: 0.000 μB/f.u.
# * crystal system: orthorhombic
data_SmAlPt4
_symmetry_space_group_name_H-M 'P 1'
_symmetry_Int_Tables_number 1
_symmetry_space_group_name_Hall 'P 1'
_cell_length_a 3.987
_cell_length_b 6.701
_cell_length_c 8.204
_cell_angle_alpha 90.00
_cell_angle_beta 104.06
_cell_angle_gamma 90.00
loop_
_atom_site_label
_atom_site_fract_x
_atom_site_fract_y
_atom_site_fract_z
Sm1 0.102 0.250 0.204
Sm2 0.898 0.750 0.796
Al1 0.232 0.750 0.464
Al2 0.768 0.250 0.536
Pt1 0.500 0.500 0.000
Pt2 0.500 0.000 0.000
Pt3 0.679 0.956 0.358
Pt4 0.321 0.044 0.642
Pt5 0.321 0.456 0.642
Pt6 0.679 0.544 0.358
Pt7 0.078 0.750 0.156
Pt8 0.922 0.250 0.844



Energy ordering: *Q* at the bottom, the next structure 165 meV per atom above.



*P*
# Al2SnPt2, relaxed, DFT GGA-PBE
# * volume: 93.8 Å³/cell
# * magnetic moment: 0.000 μB/f.u.
# * crystal system: tetragonal
data_Al2SnPt2
_symmetry_space_group_name_H-M 'P 1'
_symmetry_Int_Tables_number 1
_symmetry_space_group_name_Hall 'P 1'
_cell_length_a 4.100
_cell_length_b 4.100
_cell_length_c 6.289
_cell_angle_alpha 70.98
_cell_angle_beta 70.98
_cell_angle_gamma 90.00
loop_
_atom_site_label
_atom_site_fract_x
_atom_site_fract_y
_atom_site_fract_z
Sn1 0.000 0.000 0.000
Pt1 0.750 0.250 0.500
Pt2 0.250 0.750 0.500
Al1 0.381 0.381 0.239
Al2 0.619 0.619 0.761



*Q*
# Al2SnPt2, relaxed, DFT GGA-PBE
# * volume: 90.8 Å³/cell
# * magnetic moment: 0.000 μB/f.u.
# * crystal system: tetragonal
data_Al2SnPt2
_symmetry_space_group_name_H-M 'P 1'
_symmetry_Int_Tables_number 1
_symmetry_space_group_name_Hall 'P 1'
_cell_length_a 3.877
_cell_length_b 3.877
_cell_length_c 6.635
_cell_angle_alpha 73.02
_cell_angle_beta 73.02
_cell_angle_gamma 90.00
loop_
_atom_site_label
_atom_site_fract_x
_atom_site_fract_y
_atom_site_fract_z
Sn1 0.000 0.000 0.000
Pt1 0.382 0.382 0.236
Pt2 0.618 0.618 0.764
Al1 0.750 0.250 0.500
Al2 0.250 0.750 0.500



*R*
# Al2SnPt2, relaxed, DFT GGA-PBE
# * volume: 169.6 Å³/cell
# * magnetic moment: 0.000 μB/f.u.
# * crystal system: tetragonal
data_Al2SnPt2
_symmetry_space_group_name_H-M 'P 1'
_symmetry_Int_Tables_number 1
_symmetry_space_group_name_Hall 'P 1'
_cell_length_a 7.690
_cell_length_b 7.690
_cell_length_c 2.868
_cell_angle_alpha 90.00
_cell_angle_beta 90.00
_cell_angle_gamma 90.00
loop_
_atom_site_label
_atom_site_fract_x
_atom_site_fract_y
_atom_site_fract_z
Sn1 0.000 0.000 0.000
Sn2 0.500 0.500 0.000
Pt1 0.355 0.855 0.000
Pt2 0.855 0.645 0.000
Pt3 0.645 0.145 0.000
Pt4 0.145 0.355 0.000
Al1 0.147 0.647 0.500
Al2 0.647 0.853 0.500
Al3 0.853 0.353 0.500
Al4 0.353 0.147 0.500



Energy ordering: *Q* at the bottom, the next structure 22 meV per atom above.



*P*
# Al2Sn2Pt, relaxed, DFT GGA-PBE
# * volume: 224.5 Å³/cell
# * magnetic moment: 0.000 μB/f.u.
# * crystal system: tetragonal
data_Al2Sn2Pt
_symmetry_space_group_name_H-M 'P 1'
_symmetry_Int_Tables_number 1
_symmetry_space_group_name_Hall 'P 1'
_cell_length_a 6.972
_cell_length_b 6.972
_cell_length_c 4.619
_cell_angle_alpha 90.00
_cell_angle_beta 90.00
_cell_angle_gamma 90.00
loop_
_atom_site_label
_atom_site_fract_x
_atom_site_fract_y
_atom_site_fract_z
Sn1 0.349 0.849 0.000
Sn2 0.849 0.651 0.000
Sn3 0.651 0.151 0.000
Sn4 0.151 0.349 0.000
Pt1 0.000 0.000 0.000
Pt2 0.500 0.500 0.000
Al1 0.154 0.654 0.500
Al2 0.654 0.846 0.500
Al3 0.846 0.346 0.500
Al4 0.346 0.154 0.500



*Q*
# Al2Sn2Pt, relaxed, DFT GGA-PBE
# * volume: 210.6 Å³/cell
# * magnetic moment: 0.000 μB/f.u.
# * crystal system: tetragonal
data_Al2Sn2Pt
_symmetry_space_group_name_H-M 'P 1'
_symmetry_Int_Tables_number 1
_symmetry_space_group_name_Hall 'P 1'
_cell_length_a 6.593
_cell_length_b 6.593
_cell_length_c 4.845
_cell_angle_alpha 90.00
_cell_angle_beta 90.00
_cell_angle_gamma 90.00
loop_
_atom_site_label
_atom_site_fract_x
_atom_site_fract_y
_atom_site_fract_z
Sn1 0.173 0.673 0.500
Sn2 0.673 0.827 0.500
Sn3 0.827 0.327 0.500
Sn4 0.327 0.173 0.500
Pt1 0.000 0.000 0.000
Pt2 0.500 0.500 0.000
Al1 0.356 0.856 0.000
Al2 0.856 0.644 0.000
Al3 0.644 0.144 0.000
Al4 0.144 0.356 0.000



Energy ordering: *Q* at the bottom, the next structure 263 meV per atom above.